Record 1
Below is a relaxed YZn2MoBr crystal, with properties calculated at the PBE-GGA level.

Cell: 5.6994 5.6994 5.1091 Å, 90.00 90.00 90.00°
Space group P4/mmm (No. 123)
Asymmetric unit:
Y 0.0000 0.0000 0.0000 [1 per cell]
Zn 0.0000 0.5000 0.0000 [2 per cell]
Mo 0.0000 0.0000 0.5000 [1 per cell]
Br 0.5000 0.5000 0.5000 [1 per cell]

Computed properties:
- DFT total energy: -15.3 eV/cell
- Formation energy without anion corrections: 1234 meV per atom
- Size of the total moment: 2.62 μB per cell
- Calculated volume: 33.2 Å³ per atom


Record 2
Below is a relaxed ScTl3Tc crystal, with properties calculated at the PBE-GGA level.

Cell: 5.5097 5.5097 5.5097 Å, 90.00 90.00 90.00°
Space group Pm-3m (No. 221)
Asymmetric unit:
Sc 0.0000 0.0000 0.0000 [1 per cell]
Tl 0.0000 0.0000 0.5000 [3 per cell]
Tc 0.5000 0.5000 0.5000 [1 per cell]

Computed properties:
- DFT total energy: -17.5 eV/cell
- Size of the total moment: 3.19 μB per cell
- Calculated volume: 33.5 Å³ per atom


Record 3
Below is a relaxed HoTh6Pb10 crystal, with properties calculated at the PBE-GGA level.

Cell: 9.6779 9.6779 6.4369 Å, 90.00 90.00 120.00°
Space group P-31m (No. 162)
Asymmetric unit:
Ho 0.0000 0.0000 0.0000 [1 per cell]
Th 0.0000 0.3873 0.7570 [6 per cell]
Pb 0.0000 0.2622 0.2761 [6 per cell]
Pb 0.3333 0.6667 0.0000 [2 per cell]
Pb 0.3333 0.6667 0.5000 [2 per cell]

Computed properties:
- DFT total energy: -90.7 eV/cell
- Size of the total moment: 0.00 μB per cell
- Calculated volume: 30.7 Å³ per atom


Record 4
Below is a relaxed Pr3YTh2P6 crystal, with properties calculated at the PBE-GGA level.

Cell: 7.1868 12.4604 7.2020 Å, 90.00 109.42 90.00°
Space group C2/m (No. 12)
Asymmetric unit:
Pr 0.0000 0.0000 0.0000 [2 per cell]
Pr 0.0000 0.3333 0.0000 [4 per cell]
Y 0.0000 0.5000 0.5000 [2 per cell]
Th 0.0000 0.1666 0.5000 [4 per cell]
P 0.2459 0.3343 0.7409 [8 per cell]
P 0.2492 0.0000 0.7419 [4 per cell]

Computed properties:
- DFT total energy: -173.9 eV/cell
- Size of the total moment: 0.00 μB per cell
- Calculated volume: 25.3 Å³ per atom


Record 5
Below is a relaxed PrDyY5 crystal, with properties calculated at the PBE-GGA level.

Cell: 5.8177 8.6625 11.8795 Å, 90.00 90.00 90.00°
Space group Immm (No. 71)
Asymmetric unit:
Pr 0.0000 0.0000 0.0000 [2 per cell]
Dy 0.0000 0.0000 0.5000 [2 per cell]
Y 0.0000 0.0000 0.2523 [4 per cell]
Y 0.0000 0.3206 0.5000 [4 per cell]
Y 0.0000 0.5000 0.0000 [2 per cell]

Computed properties:
- DFT total energy: -68.1 eV/cell
- Size of the total moment: 0.00 μB per cell
- Calculated volume: 42.8 Å³ per atom


Record 6
Below is a relaxed HoZr2Ru crystal, with properties calculated at the PBE-GGA level.

Cell: 3.2711 3.2711 30.4595 Å, 90.00 90.00 120.00°
Space group R-3m (No. 166, hexagonal axes)
Asymmetric unit:
Ho 0.0000 0.0000 0.0000 [3 per cell]
Zr 0.0000 0.0000 0.1037 [6 per cell]
Ru 0.0000 0.0000 0.5000 [3 per cell]

Computed properties:
- DFT total energy: -91.2 eV/cell
- Size of the total moment: 0.00 μB per cell
- Calculated volume: 23.5 Å³ per atom


Record 7
Below is a relaxed Ac2Pr2Sn7 crystal, with properties calculated at the PBE-GGA level.

Cell: 11.0849 12.3058 5.9620 Å, 90.00 90.00 90.00°
Space group Cmmm (No. 65)
Asymmetric unit:
Ac 0.2049 0.0000 0.0000 [4 per cell]
Pr 0.0000 0.2586 0.5000 [4 per cell]
Sn 0.0000 0.0000 0.5000 [2 per cell]
Sn 0.0000 0.5000 0.2465 [4 per cell]
Sn 0.2500 0.2500 0.2412 [8 per cell]

Computed properties:
- DFT total energy: -96.4 eV/cell
- Size of the total moment: 0.00 μB per cell
- Calculated volume: 37.0 Å³ per atom


Record 8
Below is a relaxed Sc3SbTe crystal, with properties calculated at the PBE-GGA level.

Cell: 14.4054 12.6205 6.1619 Å, 90.00 90.81 90.00°
Space group C2/c (No. 15)
Asymmetric unit:
Sc 0.1259 0.0805 0.3989 [8 per cell]
Sc 0.1396 0.2202 0.8975 [8 per cell]
Sc 0.1845 0.3438 0.4106 [8 per cell]
Sb 0.2232 0.4253 0.9234 [8 per cell]
Te 0.0000 0.0794 0.7500 [4 per cell]
Te 0.0000 0.2678 0.2500 [4 per cell]

Computed properties:
- DFT total energy: -237.7 eV/cell
- Formation energy without anion corrections: -692 meV per atom
- Size of the total moment: 0.00 μB per cell
- Calculated volume: 28.0 Å³ per atom


Record 9
Below is a relaxed SiIrAu crystal, with properties calculated at the PBE-GGA level.

Cell: 2.8834 4.9977 13.2810 Å, 90.00 90.00 90.00°
Space group Fmm2 (No. 42)
Asymmetric unit:
Si 0.0000 0.0000 0.0000 [4 per cell]
Ir 0.0000 0.0000 0.3607 [4 per cell]
Au 0.0000 0.0000 0.6698 [4 per cell]

Computed properties:
- DFT total energy: -68.3 eV/cell
- Formation energy without anion corrections: 163 meV per atom
- Size of the total moment: 0.00 μB per cell
- Calculated volume: 15.9 Å³ per atom


Record 10
Below is a relaxed CaGeCl3 crystal, with properties calculated at the PBE-GGA level.

Cell: 5.2480 5.2480 5.2480 Å, 90.00 90.00 90.00°
Space group Pm-3m (No. 221)
Asymmetric unit:
Ca 0.0000 0.0000 0.0000 [1 per cell]
Ge 0.5000 0.5000 0.5000 [1 per cell]
Cl 0.0000 0.5000 0.5000 [3 per cell]

Computed properties:
- DFT total energy: -16.4 eV/cell
- Formation energy without anion corrections: -855 meV per atom
- Size of the total moment: 0.00 μB per cell
- Calculated volume: 28.9 Å³ per atom


Record 11
Below is a relaxed TeAsSe2Br crystal, with properties calculated at the PBE-GGA level.

Cell: 5.3081 5.3081 5.5876 Å, 90.00 90.00 90.00°
Space group P4/mmm (No. 123)
Asymmetric unit:
Te 0.0000 0.0000 0.0000 [1 per cell]
As 0.0000 0.0000 0.5000 [1 per cell]
Se 0.0000 0.5000 0.0000 [2 per cell]
Br 0.5000 0.5000 0.5000 [1 per cell]

Computed properties:
- DFT total energy: -12.8 eV/cell
- Formation energy without anion corrections: 724 meV per atom
- Size of the total moment: 0.23 μB per cell
- Calculated volume: 31.5 Å³ per atom


Record 12
Below is a relaxed InBPt3 crystal, with properties calculated at the PBE-GGA level.

Cell: 6.2294 6.2294 4.4913 Å, 90.00 90.00 120.00°
Space group P6_3/mmc (No. 194)
Asymmetric unit:
In 0.3333 0.6667 0.2500 [2 per cell]
B 0.0000 0.0000 0.0000 [2 per cell]
Pt 0.1772 0.3544 0.7500 [6 per cell]

Computed properties:
- DFT total energy: -58.2 eV/cell
- Size of the total moment: 0.00 μB per cell
- Calculated volume: 15.1 Å³ per atom


Record 13
Below is a relaxed Rb2UPaSe6 crystal, with properties calculated at the PBE-GGA level.

Cell: 7.7812 11.0032 7.7805 Å, 90.00 90.00 90.00°
Space group Pmmn (No. 59, origin choice 2)
Asymmetric unit:
Rb 0.2500 0.0000 0.2499 [4 per cell]
U 0.2500 0.2500 0.7505 [2 per cell]
Pa 0.2500 0.7500 0.7496 [2 per cell]
Se 0.0011 0.2500 0.0000 [4 per cell]
Se 0.0006 0.2500 0.5014 [4 per cell]
Se 0.2500 0.0008 0.7501 [4 per cell]

Computed properties:
- DFT total energy: -113.0 eV/cell
- Formation energy without anion corrections: -1288 meV per atom
- Size of the total moment: 2.02 μB per cell
- Calculated volume: 33.3 Å³ per atom


Record 14
Below is a relaxed CdFe crystal, with properties calculated at the PBE-GGA level.

Cell: 5.3313 5.3313 5.3313 Å, 90.00 90.00 90.00°
Space group Fm-3m (No. 225)
Asymmetric unit:
Cd 0.0000 0.0000 0.0000 [4 per cell]
Fe 0.0000 0.0000 0.5000 [4 per cell]

Computed properties:
- DFT total energy: -30.7 eV/cell
- Size of the total moment: 10.75 μB per cell
- Calculated volume: 18.9 Å³ per atom


Record 15
Below is a relaxed ScTc2 crystal, with properties calculated at the PBE-GGA level.

Cell: 5.2554 5.2554 8.5536 Å, 90.00 90.00 120.00°
Space group P6_3/mmc (No. 194)
Asymmetric unit:
Sc 0.3333 0.6667 0.0618 [4 per cell]
Tc 0.0000 0.0000 0.0000 [2 per cell]
Tc 0.1723 0.3447 0.7500 [6 per cell]

Computed properties:
- DFT total energy: -111.9 eV/cell
- Size of the total moment: 0.00 μB per cell
- Calculated volume: 17.0 Å³ per atom


Record 16
Below is a relaxed CeSnSe3 crystal, with properties calculated at the PBE-GGA level.

Cell: 5.6585 11.1629 8.8505 Å, 90.00 90.00 90.00°
Space group Imma (No. 74)
Asymmetric unit:
Ce 0.0000 0.0000 0.0000 [4 per cell]
Sn 0.0000 0.2500 0.4733 [4 per cell]
Se 0.0000 0.0477 0.6648 [8 per cell]
Se 0.0000 0.2500 0.0866 [4 per cell]

Computed properties:
- DFT total energy: -100.8 eV/cell
- Formation energy without anion corrections: -962 meV per atom
- Size of the total moment: 0.54 μB per cell
- Calculated volume: 28.0 Å³ per atom


Record 17
Below is a relaxed Th2H2Os crystal, with properties calculated at the PBE-GGA level.

Cell: 7.5238 9.5461 10.0411 Å, 90.00 90.00 90.00°
Space group Fddd (No. 70, origin choice 2)
Asymmetric unit:
Th 0.1250 0.1250 0.3544 [16 per cell]
H 0.1250 0.0164 0.1250 [16 per cell]
Os 0.1250 0.1250 0.6250 [8 per cell]

Computed properties:
- DFT total energy: -274.8 eV/cell
- Size of the total moment: 0.00 μB per cell
- Calculated volume: 18.0 Å³ per atom


Record 18
Below is a relaxed Ac8AlGa3I4 crystal, with properties calculated at the PBE-GGA level.

Cell: 9.4602 9.4602 23.7931 Å, 90.00 90.00 120.00°
Space group R-3m (No. 166, hexagonal axes)
Asymmetric unit:
Ac 0.0000 0.0000 0.2356 [6 per cell]
Ac 0.0040 0.5020 0.7627 [18 per cell]
Al 0.0000 0.0000 0.5000 [3 per cell]
Ga 0.0000 0.5000 0.5000 [9 per cell]
I 0.0000 0.0000 0.0000 [3 per cell]
I 0.0000 0.5000 0.0000 [9 per cell]

Computed properties:
- DFT total energy: -189.4 eV/cell
- Formation energy without anion corrections: -703 meV per atom
- Size of the total moment: 0.00 μB per cell
- Calculated volume: 38.4 Å³ per atom


Record 19
Below is a relaxed RbTiAg2O crystal, with properties calculated at the PBE-GGA level.

Cell: 4.6336 4.6336 5.1898 Å, 90.00 90.00 90.00°
Space group P4/mmm (No. 123)
Asymmetric unit:
Rb 0.0000 0.0000 0.0000 [1 per cell]
Ti 0.5000 0.5000 0.0000 [1 per cell]
Ag 0.0000 0.5000 0.5000 [2 per cell]
O 0.0000 0.0000 0.5000 [1 per cell]

Computed properties:
- DFT total energy: -16.7 eV/cell
- Formation energy without anion corrections: 566 meV per atom
- Size of the total moment: 3.06 μB per cell
- Calculated volume: 22.3 Å³ per atom


Record 20
Below is a relaxed TlFeAs2 crystal, with properties calculated at the PBE-GGA level.

Cell: 5.6798 7.6875 4.1196 Å, 90.00 112.21 90.00°
Space group C2/m (No. 12)
Asymmetric unit:
Tl 0.0000 0.0000 0.0000 [2 per cell]
Fe 0.0000 0.5000 0.0000 [2 per cell]
As 0.2500 0.2500 0.5000 [4 per cell]

Computed properties:
- DFT total energy: -36.0 eV/cell
- Size of the total moment: 6.28 μB per cell
- Calculated volume: 20.8 Å³ per atom